Entry 1:
A plane-wave DFT calculation with PBE was carried out for a relaxed TcRh2 crystal.

Values from the calculation:
Calculated formation energy: -0.0770 eV/atom
Relative energy among the computed polymorphs: 69 meV per atom
SG: No. 63
E: -8.4332 eV per atom

a b c (Å): 6.045 6.045 3.851
angles (deg): 90.00 90.00 142.59
Fractional positions:
Rh1 0.580 0.420 0.250
Rh2 0.420 0.580 0.750
Rh3 0.253 0.747 0.250
Rh4 0.747 0.253 0.750
Tc1 0.919 0.081 0.250
Tc2 0.081 0.919 0.750

=====

Entry 2:
A plane-wave DFT calculation with PBE was carried out for a relaxed Li4CeAu crystal.

Values from the calculation:
Calculated formation energy: -0.1002 eV/atom
SG: No. 216
E: -2.9113 eV per atom

a b c (Å): 5.346 5.346 5.346
angles (deg): 60.00 60.00 60.00
Site moments in Bohr magnetons follow the coordinates.
Fractional positions:
Au1 0.000 0.000 0.000  0.00
Ce1 0.250 0.250 0.250  0.78
Li1 0.628 0.628 0.115  0.01
Li2 0.628 0.115 0.628  0.01
Li3 0.628 0.628 0.628  0.01
Li4 0.115 0.628 0.628  0.01

=====

- What is the formula in the second record?
  Li4CeAu

=====

- Among the records above, which one has the highest calculated formation energy?
  TcRh2

=====

- What is the calculated formation energy in the first record?
  -0.0770 eV/atom

=====

- E of number 2 (Li4CeAu)?
  -2.9113 eV per atom